Entry 1:
Below is crystalline Ba6InGa2 at its relaxed geometry, with properties calculated at the GGA-PBE level.

The density comes out at 4.43 g cm⁻³. The total moment is 2.6 μB/cell. Its formation energy from the elements is -2.20 eV per formula unit. The calculation puts the total energy at -2.503 eV per atom.

a = 10.178 Å, b = 10.178 Å, c = 10.178 Å
α = 112.67°, β = 109.66°, γ = 106.15°
Sites, in units of the cell vectors:
Ba 0.062 0.248 0.815
Ba 0.177 0.273 0.450
Ba 0.177 0.727 0.905
Ba 0.335 0.017 0.681
Ba 0.335 0.654 0.319
Ba 0.433 0.248 0.185
Ba 0.567 0.752 0.815
Ba 0.665 0.346 0.681
Ba 0.665 0.983 0.319
Ba 0.823 0.273 0.095
Ba 0.823 0.727 0.550
Ba 0.938 0.752 0.185
In 0.000 0.000 0.000
In 0.500 0.500 0.000
Ga 0.105 0.605 0.500
Ga 0.329 0.000 0.329
Ga 0.671 0.000 0.671
Ga 0.895 0.395 0.500

Entry 2:
Below is crystalline BaIn3Ga3 at its relaxed geometry, with properties calculated at the GGA-PBE level.

The density comes out at 5.18 g cm⁻³. The polymorph energy (0 for the lowest one) comes out at 69 meV/atom. The total moment is 0.0 μB/cell. Its formation energy from the elements is -0.39 eV per formula unit. The calculation puts the total energy at -2.801 eV per atom.

a = 7.622 Å, b = 7.622 Å, c = 7.622 Å
α = 90.00°, β = 90.00°, γ = 90.00°
Sites, in units of the cell vectors:
Ba 0.000 0.000 0.000
Ba 0.500 0.500 0.500
In 0.000 0.250 0.500
In 0.000 0.750 0.500
In 0.250 0.500 0.000
In 0.500 0.000 0.250
In 0.500 0.000 0.750
In 0.750 0.500 0.000
Ga 0.000 0.500 0.250
Ga 0.000 0.500 0.750
Ga 0.250 0.000 0.500
Ga 0.500 0.250 0.000
Ga 0.500 0.750 0.000
Ga 0.750 0.000 0.500

Entry 3:
Below is crystalline Ba6InGa at its relaxed geometry, with properties calculated at the GGA-PBE level.

The density comes out at 3.72 g cm⁻³. The polymorph energy (0 for the lowest one) comes out at 105 meV/atom. The total moment is 1.4 μB/cell. Its formation energy from the elements is -0.61 eV per formula unit. The calculation puts the total energy at -2.240 eV per atom.

a = 8.291 Å, b = 8.291 Å, c = 8.255 Å
α = 101.87°, β = 101.87°, γ = 119.62°
Sites, in units of the cell vectors:
Ba 0.058 0.417 0.247
Ba 0.245 0.245 0.758
Ba 0.417 0.058 0.247
Ba 0.583 0.942 0.753
Ba 0.755 0.755 0.242
Ba 0.942 0.583 0.753
In 0.500 0.500 0.500
Ga 0.000 0.000 0.000

Which value of formation energy from the elements does entry 1 give? -2.20 eV per formula unit

Which of these has the lowest total moment? BaIn3Ga3

Which value of formation energy from the elements does entry 3 give? -0.61 eV per formula unit

Which of these has the highest total moment? Ba6InGa2